! SCAN Ni3O4, single point on PBEsol structure; values from VASP
! **Uncorrected energy**: -11.665 eV per atom
! **Space-group type**: No. 65
&SYSTEM
  ibrav = 0, nat = 7, ntyp = 2
/
ATOMIC_SPECIES
Ni 58.69 Ni.upf
O 16.00 O.upf
CELL_PARAMETERS angstrom
2.905 -3.923 0.000
2.905 3.923 0.000
0.000 0.000 2.848
ATOMIC_POSITIONS angstrom
Ni 0.000 0.000 0.000
Ni 1.453 1.961 1.424
Ni 1.453 -1.961 1.424
O 1.242 0.000 1.424
O 2.905 2.060 0.000
O 2.905 -2.060 0.000
O 4.569 0.000 1.424

! SCAN InCu2Ru, single point on PBEsol structure; values from VASP
! **Uncorrected energy**: -24.419 eV per atom
! **Space-group type**: No. 71
! **E_form**: 0.234 eV per atom
&SYSTEM
  ibrav = 0, nat = 4, ntyp = 3
/
ATOMIC_SPECIES
In 114.82 In.upf
Cu 63.55 Cu.upf
Ru 101.07 Ru.upf
CELL_PARAMETERS angstrom
-1.525 2.166 4.313
1.525 -2.166 4.313
1.525 2.166 -4.313
ATOMIC_POSITIONS angstrom
In 0.000 0.000 0.000
Cu 1.525 0.000 2.205
Cu 0.000 2.166 2.108
Ru 0.000 0.000 4.313